[1]
A geometry-optimized TcPtW2 structure, computed with PBE-GGA.

Space-group type: No. 12
Calculated formation energy: 0.014 eV/atom
M_tot: 0.00 μB per formula unit
Calculated total energy: -10.565 eV per atom
V: 62 Å³/cell

Cell lengths 4.8537, 4.8537, 4.8989 Å; angles 81.10, 81.10, 33.12 degrees
Atoms (fractional coordinates):
1 Pt 0.7500 0.7500 0.7500
2 Tc 0.2500 0.2500 0.2500
3 W 0.0011 0.0011 0.9998
4 W 0.4989 0.4989 0.5002

***

[2]
A geometry-optimized Sn2BAu2 structure, computed with PBE-GGA.

Space-group type: No. 139
Calculated formation energy: 0.722 eV/atom
M_tot: 0.00 μB per formula unit
Calculated total energy: -3.526 eV per atom
V: 109 Å³/cell

Cell lengths 3.7649, 3.7649, 8.1234 Å; angles 76.60, 76.60, 90.00 degrees
Atoms (fractional coordinates):
1 B 0.0000 0.0000 0.0000
2 Au 0.7500 0.2500 0.5000
3 Au 0.2500 0.7500 0.5000
4 Sn 0.4051 0.4051 0.1898
5 Sn 0.5949 0.5949 0.8102

***

[3]
A geometry-optimized CaY3As structure, computed with PBE-GGA.

Space-group type: No. 221
Calculated formation energy: -0.392 eV/atom
M_tot: 0.00 μB per formula unit
Calculated total energy: -5.601 eV per atom
V: 171 Å³/cell

Cell lengths 5.5556, 5.5556, 5.5556 Å; angles 90.00, 90.00, 90.00 degrees
Atoms (fractional coordinates):
1 Y 0.0000 0.5000 0.0000
2 Y 0.0000 0.0000 0.5000
3 Y 0.5000 0.0000 0.0000
4 As 0.0000 0.0000 0.0000
5 Ca 0.5000 0.5000 0.5000

***

[4]
A geometry-optimized LaZnOs2 structure, computed with PBE-GGA.

Space-group type: No. 65
Calculated formation energy: 0.671 eV/atom
M_tot: 0.00 μB per formula unit
Calculated total energy: -6.494 eV per atom
V: 73 Å³/cell

Cell lengths 4.9884, 4.9884, 3.0829 Å; angles 90.00, 90.00, 107.76 degrees
Atoms (fractional coordinates):
1 La 0.0000 0.5000 0.5000
2 Os 0.0000 0.0000 0.0000
3 Os 0.5000 0.5000 0.0000
4 Zn 0.5000 0.0000 0.5000